The following is a PBE-GGA calculation of Th2RuBr2 after structural relaxation, from the Alexandria database.

Its total energy is -6.662 eV per atom.

The structure belongs to space group R-3m (No. 166, hexagonal axes); the cell edges are 4.0993, 4.0993 and 33.1680 Å and the angles 90.00°, 90.00° and 120.00°. The distinct sites, in fractional coordinates, are Th at (0.0000, 0.0000, 0.1194), Ru at (0.0000, 0.0000, 0.5000) and Br at (0.0000, 0.0000, 0.2774).